1.
Below is LiYTc after structural relaxation, with properties calculated at the PBEsol level.

Properties
ρ	5.678	Mg/m³
size of the total moment	1.1	Bohr magnetons per cell
formation energy from the elements	0.86	eV/atom
space group	No. 216

Cell: 4.312 4.312 4.312 Å, 60.00 60.00 60.00°
Element x y z (fractional)
Li: 0.750 0.750 0.750
Tc: 0.000 0.000 0.000
Y: 0.500 0.500 0.500



2.
Below is ZnCd2Ru after structural relaxation, with properties calculated at the PBEsol level.

Properties
ρ	10.043	Mg/m³
size of the total moment	0.0	Bohr magnetons per cell
formation energy from the elements	0.20	eV/atom
space group	No. 119

Cell: 4.037 4.037 4.890 Å, 114.38 114.38 90.00°
Element x y z (fractional)
Cd: 0.000 0.000 0.000
Cd: 0.750 0.250 0.500
Ru: 0.500 0.500 0.000
Zn: 0.250 0.750 0.500



3.
Below is BaLa2Tl after structural relaxation, with properties calculated at the PBEsol level.

Properties
ρ	7.504	Mg/m³
size of the total moment	0.0	Bohr magnetons per cell
formation energy from the elements	-0.12	eV/atom
space group	No. 10

Cell: 3.757 5.809 6.336 Å, 90.00 97.52 90.00°
Element x y z (fractional)
Tl: 0.500 0.500 0.000
Ba: 0.000 0.500 0.500
La: 0.720 0.000 0.790
La: 0.280 0.000 0.210



4.
Below is Y2MgSi after structural relaxation, with properties calculated at the PBEsol level.

Properties
ρ	4.142	Mg/m³
size of the total moment	0.0	Bohr magnetons per cell
space group	No. 47
E_form (uncorrected)	-0.40	eV per atom

Cell: 3.404 3.948 6.866 Å, 90.00 90.00 90.00°
Element x y z (fractional)
Mg: 0.500 0.500 0.000
Si: 0.500 0.500 0.500
Y: 0.000 0.000 0.728
Y: 0.000 0.000 0.272



5.
Below is BaMoP2O8 after structural relaxation, with properties calculated at the PBEsol level.

Properties
ρ	4.112	Mg/m³
size of the total moment	2.0	Bohr magnetons per cell
space group	No. 12
E_form (uncorrected)	-2.38	eV per atom

Cell: 4.949 4.949 7.764 Å, 86.53 86.53 64.29°
Element x y z (fractional)
Ba: 0.000 0.000 0.000
Mo: 0.000 0.000 0.500
P: 0.635 0.635 0.711
P: 0.365 0.365 0.289
O: 0.230 0.711 0.314
O: 0.312 0.312 0.106
O: 0.770 0.289 0.686
O: 0.770 0.770 0.565
O: 0.230 0.230 0.435
O: 0.289 0.770 0.686
O: 0.688 0.688 0.894
O: 0.711 0.230 0.314



6.
Below is Li2AlPH after structural relaxation, with properties calculated at the PBEsol level.

Properties
ρ	2.000	Mg/m³
size of the total moment	0.0	Bohr magnetons per cell
electronic total energy	-3.53	eV per atom
space group	No. 123

Cell: 3.684 4.052 4.052 Å, 90.00 90.00 90.00°
Element x y z (fractional)
P: 0.500 0.000 0.000
Li: 0.000 0.000 0.500
Li: 0.000 0.500 0.000
Al: 0.500 0.500 0.500
H: 0.000 0.000 0.000



7.
Below is Mg5Tl after structural relaxation, with properties calculated at the PBEsol level.

Properties
ρ	3.947	Mg/m³
size of the total moment	0.0	Bohr magnetons per cell
formation energy from the elements	-0.03	eV/atom
space group	No. 38

Cell: 3.182 5.237 8.382 Å, 90.00 100.94 90.00°
Element x y z (fractional)
Tl: 0.111 0.500 0.221
Mg: 0.999 0.000 0.998
Mg: 0.334 0.000 0.667
Mg: 0.667 0.000 0.333
Mg: 0.444 0.500 0.888
Mg: 0.779 0.500 0.558



8.
Below is SrZrBe2 after structural relaxation, with properties calculated at the PBEsol level.

Properties
ρ	3.625	Mg/m³
size of the total moment	0.0	Bohr magnetons per cell
formation energy from the elements	0.92	eV/atom
space group	No. 122

Cell: 6.173 6.173 6.173 Å, 107.41 107.41 113.68°
Element x y z (fractional)
Sr: 0.500 0.500 0.000
Sr: 0.750 0.250 0.500
Zr: 0.000 0.000 0.000
Zr: 0.250 0.750 0.500
Be: 0.920 0.875 0.545
Be: 0.330 0.375 0.455
Be: 0.125 0.670 0.045
Be: 0.625 0.080 0.955



9.
Below is LiSc2CrRh after structural relaxation, with properties calculated at the PBEsol level.

Properties
ρ	4.761	Mg/m³
size of the total moment	3.0	Bohr magnetons per cell
formation energy from the elements	0.60	eV/atom
space group	No. 123

Cell: 3.951 4.714 4.714 Å, 90.00 90.00 90.00°
Element x y z (fractional)
Sc: 0.000 0.000 0.500
Sc: 0.000 0.500 0.000
Cr: 0.500 0.500 0.500
Rh: 0.500 0.000 0.000
Li: 0.000 0.000 0.000



10.
Below is TlI3O9 after structural relaxation, with properties calculated at the PBEsol level.

Properties
ρ	6.120	Mg/m³
size of the total moment	0.0	Bohr magnetons per cell
space group	No. 148
E_form (uncorrected)	-0.39	eV per atom

Cell: 7.398 7.398 7.398 Å, 82.61 82.61 82.61°
Element x y z (fractional)
Tl: 0.176 0.176 0.176
Tl: 0.824 0.824 0.824
I: 0.131 0.414 0.707
I: 0.707 0.131 0.414
I: 0.414 0.707 0.131
I: 0.869 0.586 0.293
I: 0.293 0.869 0.586
I: 0.586 0.293 0.869
O: 0.264 0.582 0.778
O: 0.778 0.264 0.582
O: 0.582 0.778 0.264
O: 0.736 0.418 0.222
O: 0.222 0.736 0.418
O: 0.418 0.222 0.736
O: 0.917 0.571 0.679
O: 0.679 0.917 0.571
O: 0.571 0.679 0.917
O: 0.083 0.429 0.321
O: 0.321 0.083 0.429
O: 0.429 0.321 0.083
O: 0.040 0.302 0.929
O: 0.929 0.040 0.302
O: 0.302 0.929 0.040
O: 0.960 0.698 0.071
O: 0.071 0.960 0.698
O: 0.698 0.071 0.960



11.
Below is Co3Cu after structural relaxation, with properties calculated at the PBEsol level.

Properties
ρ	9.413	Mg/m³
size of the total moment	4.6	Bohr magnetons per cell
formation energy from the elements	0.07	eV/atom
space group	No. 187

Cell: 2.462 2.462 8.075 Å, 90.00 90.00 120.00°
Element x y z (fractional)
Co: 0.333 0.667 0.242
Co: 0.333 0.667 0.758
Co: 0.000 0.000 0.000
Cu: 0.000 0.000 0.500



12.
Below is Tc2TeMo after structural relaxation, with properties calculated at the PBEsol level.

Properties
ρ	10.849	Mg/m³
size of the total moment	0.0	Bohr magnetons per cell
space group	No. 12
E_form (uncorrected)	0.54	eV per atom

Cell: 2.953 5.033 5.147 Å, 116.39 102.18 98.93°
Element x y z (fractional)
Mo: 0.000 0.500 0.000
Tc: 0.000 0.000 0.500
Tc: 0.500 0.500 0.500
Te: 0.500 0.000 0.000